(1)
First-principles (GGA-PBE) data for BaPPd2Pt after structural relaxation, as listed in Alexandria via LeMat-Bulk.

Properties
Energy of formation from the pure elements = -0.606 eV per atom
SG = No. 123

a b c (Å): 4.773 4.773 4.679
angles (deg): 90.00 90.00 90.00
Positions (direct):
Ba  0.500  0.500  0.500
Pt  0.000  0.000  0.500
P  0.000  0.000  0.000
Pd  0.000  0.500  0.000
Pd  0.500  0.000  0.000

---

(2)
First-principles (GGA-PBE) data for LiMoW after structural relaxation, as listed in Alexandria via LeMat-Bulk.

Properties
Energy of formation from the pure elements = 0.395 eV per atom
SG = No. 44
Offset from the most stable computed form = 5.68 kJ per mole of atoms

a b c (Å): 4.780 4.780 4.780
angles (deg): 148.89 124.99 64.56
Positions (direct):
W  0.667  0.667  0.000
Li  0.000  0.000  0.000
Mo  0.333  0.333  0.000

---

(3)
First-principles (GGA-PBE) data for MgV3Rh after structural relaxation, as listed in Alexandria via LeMat-Bulk.

Properties
Energy of formation from the pure elements = 0.915 eV per atom
SG = No. 221
Offset from the most stable computed form = 0.00 kJ per mole of atoms

a b c (Å): 4.608 4.608 4.608
angles (deg): 90.00 90.00 90.00
Last column: magnetic moment on the atom in μB.
Positions (direct):
V  0.000  0.000  0.500  0.57
V  0.000  0.500  0.000  0.57
V  0.500  0.000  0.000  0.57
Mg  0.500  0.500  0.500  -0.01
Rh  0.000  0.000  0.000  -0.03

---

(4)
First-principles (GGA-PBE) data for HgSbTe2 after structural relaxation, as listed in Alexandria via LeMat-Bulk.

Properties
ΔE_f (raw) = 0.205 eV per atom
SG = No. 35
Offset from the most stable computed form = 27.44 kJ per mole of atoms

a b c (Å): 3.262 3.262 11.406
angles (deg): 90.00 90.00 108.87
Positions (direct):
Hg  0.000  0.000  0.510
Te  0.000  0.000  0.975
Te  0.500  0.500  0.257
Sb  0.500  0.500  0.758

---

(5)
First-principles (GGA-PBE) data for Pm2PaF after structural relaxation, as listed in Alexandria via LeMat-Bulk.

Properties
ΔE_f (raw) = -0.829 eV per atom
SG = No. 166

a b c (Å): 3.248 3.248 10.565
angles (deg): 81.16 81.16 60.00
Positions (direct):
Pm  0.104  0.104  0.688
Pm  0.896  0.896  0.312
Pa  0.000  0.000  0.000
F  0.500  0.500  0.500

---

Number 1: final energy -5.358 eV per atom, size of the total moment 0.00 μB per formula unit, mass density 8.98 g/cm3. Number 2: final energy -8.171 eV per atom, size of the total moment 0.00 μB per formula unit, mass density 10.41 g/cm3. Number 3: final energy -6.345 eV per atom, size of the total moment 1.87 μB per formula unit, mass density 4.75 g/cm3. Number 4: final energy -2.472 eV per atom, size of the total moment 0.00 μB per formula unit, mass density 8.35 g/cm3. Number 5: final energy -6.046 eV per atom, size of the total moment 0.00 μB per formula unit, mass density 9.44 g/cm3.